The following is a DFT calculation (PBE-GGA) of an optimized crystal structure of MgZr4Be.

POSCAR file:
```
MgZr4Be
1.0
0.0000 4.0598 4.0598
4.0598 0.0000 4.0598
4.0598 4.0598 0.0000
Be Zr Mg
1 4 1
direct
0.7500 0.7500 0.7500
0.3750 0.8751 0.3750
0.3750 0.3750 0.3750
0.8751 0.3750 0.3750
0.3750 0.3750 0.8751
0.0000 0.0000 0.0000
```

---

The following is a DFT calculation (PBE-GGA) of an optimized crystal structure of MgZr2Be.

POSCAR file:
```
MgZr2Be
1.0
5.3170 0.0033 0.0000
2.1215 4.8754 0.0000
-3.7192 -2.4394 2.9133
Zr Mg Be
2 1 1
direct
0.0000 0.0000 0.0000
0.2500 0.7500 0.5000
0.7500 0.2500 0.5000
0.5000 0.5000 0.0000
```

---

The following is a DFT calculation (PBE-GGA) of an optimized crystal structure of MgZr2Be.

POSCAR file:
```
MgZr2Be
1.0
3.1309 0.0000 0.0000
0.0000 3.9843 0.0000
0.0000 0.0000 6.3040
Mg Zr Be
1 2 1
direct
0.5000 0.5000 0.7308
0.0000 0.0000 0.0095
0.5000 0.5000 0.2737
0.0000 0.0000 0.4861
```

---

The following is a DFT calculation (PBE-GGA) of an optimized crystal structure of MgZr2Be.

POSCAR file:
```
MgZr2Be
1.0
9.2428 0.0173 0.0102
8.6740 3.1923 0.0102
8.6740 1.5539 2.7887
Zr Mg Be
2 1 1
direct
0.5164 0.5164 0.5164
0.9836 0.9836 0.9836
0.7500 0.7500 0.7500
0.2500 0.2500 0.2500
```

---

The following is a DFT calculation (PBE-GGA) of an optimized crystal structure of MgZrBe4.

POSCAR file:
```
MgZrBe4
1.0
0.0000 3.3479 3.3479
3.3479 0.0000 3.3479
3.3479 3.3479 0.0000
Be Zr Mg
4 1 1
direct
0.6310 0.6310 0.1069
0.1069 0.6310 0.6310
0.6310 0.6310 0.6310
0.6310 0.1069 0.6310
0.0000 0.0000 0.0000
0.2500 0.2500 0.2500
```

---

The following is a DFT calculation (PBE-GGA) of an optimized crystal structure of MgZr2Be.

POSCAR file:
```
MgZr2Be
1.0
5.6765 0.0059 0.0008
2.6529 5.0185 -0.0008
-3.5383 -3.5507 2.6639
Be Zr Mg
1 2 1
direct
0.5072 0.5072 0.0000
0.2788 0.7788 0.5000
0.0020 0.0020 0.0000
0.7121 0.2121 0.5000
```

---

no.,formation enthalpy at 0 K (eV per atom),magnetization (μB per cell)
1,0.55,0.00
2,0.20,0.00
3,0.22,0.00
4,0.16,0.00
5,0.04,0.00
6,0.10,0.00